Entry 1:
Density functional theory data (PBE) for ScAu2Cl after structural relaxation.

The structure in CIF format:
```
data_ScAu2Cl
_chemical_formula_sum 'Sc3 Au6 Cl3'
_cell_length_a 3.6345
_cell_length_b 3.6345
_cell_length_c 23.1537
_cell_angle_alpha 90.00
_cell_angle_beta 90.00
_cell_angle_gamma 120.00
_symmetry_space_group_name_H-M 'R -3 m'
_symmetry_Int_Tables_number 166
_symmetry_space_group_name_Hall '-R 3 2"'
loop_
_atom_site_label
_atom_site_type_symbol
_atom_site_fract_x
_atom_site_fract_y
_atom_site_fract_z
_atom_site_occupancy
Sc1 Sc 0.0000 0.0000 0.0000 1
Au1 Au 0.0000 0.0000 0.2557 1
Cl1 Cl 0.0000 0.0000 0.5000 1
```

Calculated values
* volume: 88 Å³/f.u.
* density: 8.9 g cm⁻³
* energy relative to the elements, uncorrected: -2.35 eV/f.u.
* DOS(E_F): 0.05 states/eV/f.u.



Entry 2:
Density functional theory data (PBE) for Ga2Pt3 after structural relaxation.

The structure in CIF format:
```
data_Ga2Pt3
_chemical_formula_sum 'Ga4 Pt6'
_cell_length_a 3.158
_cell_length_b 3.158
_cell_length_c 15.391
_cell_angle_alpha 90.00
_cell_angle_beta 90.00
_cell_angle_gamma 90.00
_symmetry_space_group_name_H-M 'I 4/m m m'
_symmetry_Int_Tables_number 139
_symmetry_space_group_name_Hall '-I 4 2'
loop_
_atom_site_label
_atom_site_type_symbol
_atom_site_fract_x
_atom_site_fract_y
_atom_site_fract_z
_atom_site_occupancy
Ga1 Ga 0.000 0.000 0.103 1
Pt1 Pt 0.000 0.000 0.313 1
Pt2 Pt 0.000 0.000 0.500 1
```

Calculated values
* volume: 77 Å³/f.u.
* density: 15.7 g cm⁻³
* DOS(E_F): 1.14 states/eV/f.u.
* formation energy from the elements: -2.5 eV per formula unit



Entry 3:
Density functional theory data (PBE) for La3NdP4 after structural relaxation.

The structure in CIF format:
```
data_La3NdP4
_chemical_formula_sum 'La6 Nd2 P8'
_cell_length_a 7.359
_cell_length_b 8.504
_cell_length_c 7.358
_cell_angle_alpha 90.00
_cell_angle_beta 109.49
_cell_angle_gamma 90.00
_symmetry_space_group_name_H-M 'P 1 2/c 1'
_symmetry_Int_Tables_number 13
_symmetry_space_group_name_Hall '-P 2yc'
loop_
_atom_site_label
_atom_site_type_symbol
_atom_site_fract_x
_atom_site_fract_y
_atom_site_fract_z
_atom_site_occupancy
La1 La 0.000 0.124 0.250 1
La2 La 0.000 0.374 0.750 1
La3 La 0.500 0.374 0.250 1
Nd1 Nd 0.500 0.124 0.750 1
P1 P 0.251 0.373 0.502 1
P2 P 0.253 0.123 0.000 1
```

Calculated values
* volume: 217 Å³/f.u.
* density: 5.2 g cm⁻³
* DOS(E_F): 1.29 states/eV/f.u.
* formation energy from the elements: -12.5 eV per formula unit



Q: What is the formula in the first record?
A: ScAu2Cl



Q: Among the records above, which one has the lowest DOS(E_F)?
A: ScAu2Cl



Please write out number 3 again, unchanged.
Density functional theory data (PBE) for La3NdP4 after structural relaxation.

The structure in CIF format:
```
data_La3NdP4
_chemical_formula_sum 'La6 Nd2 P8'
_cell_length_a 7.359
_cell_length_b 8.504
_cell_length_c 7.358
_cell_angle_alpha 90.00
_cell_angle_beta 109.49
_cell_angle_gamma 90.00
_symmetry_space_group_name_H-M 'P 1 2/c 1'
_symmetry_Int_Tables_number 13
_symmetry_space_group_name_Hall '-P 2yc'
loop_
_atom_site_label
_atom_site_type_symbol
_atom_site_fract_x
_atom_site_fract_y
_atom_site_fract_z
_atom_site_occupancy
La1 La 0.000 0.124 0.250 1
La2 La 0.000 0.374 0.750 1
La3 La 0.500 0.374 0.250 1
Nd1 Nd 0.500 0.124 0.750 1
P1 P 0.251 0.373 0.502 1
P2 P 0.253 0.123 0.000 1
```

Calculated values
* volume: 217 Å³/f.u.
* density: 5.2 g cm⁻³
* DOS(E_F): 1.29 states/eV/f.u.
* formation energy from the elements: -12.5 eV per formula unit